(1)
Density functional theory data (PBE) for a relaxed structure of KCuRh2.

The calculation puts the energy of formation from the pure elements at 0.521 eV per atom. Its energy above the most stable polymorph in this dataset is 121 meV/atom.

Geometry as CIF:
```
data_KCuRh2
_cell_length_a 2.7016
_cell_length_b 4.9265
_cell_length_c 10.2920
_cell_angle_alpha 90.00
_cell_angle_beta 90.00
_cell_angle_gamma 90.00
_space_group_name_H-M_alt 'I m m m'
_space_group_IT_number 71
_space_group_name_Hall '-I 2 2'
loop_
_atom_site_label
_atom_site_type_symbol
_atom_site_fract_x
_atom_site_fract_y
_atom_site_fract_z
K1 K 0.0000 0.0000 0.0000
Cu1 Cu 0.0000 0.0000 0.5000
Rh1 Rh 0.0000 0.5000 0.2192
```

(2)
Density functional theory data (PBE) for a relaxed structure of KCu2Rh.

The calculation puts the energy of formation from the pure elements at 0.626 eV per atom. Its energy above the most stable polymorph in this dataset is 274 meV/atom.

Geometry as CIF:
```
data_KCu2Rh
_cell_length_a 4.9562
_cell_length_b 4.9562
_cell_length_c 16.6012
_cell_angle_alpha 90.00
_cell_angle_beta 90.00
_cell_angle_gamma 90.00
_space_group_name_H-M_alt 'I 41/a m d'
_space_group_IT_number 141
loop_
_space_group_symop_operation_xyz
'x,y,z'
'-x,-y,-z'
'-y+1/4,x+3/4,z+1/4'
'y+1/4,-x+3/4,-z+1/4'
'-x+1/2,-y,z+1/2'
'x+1/2,y,-z+1/2'
'y+1/4,-x+1/4,z+3/4'
'-y+1/4,x+1/4,-z+3/4'
'x,-y,-z'
'-x,y,z'
'-y+1/4,-x+1/4,-z+3/4'
'y+1/4,x+1/4,z+3/4'
'-x+1/2,y,-z+1/2'
'x+1/2,-y,z+1/2'
'y+1/4,x+3/4,-z+1/4'
'-y+1/4,-x+3/4,z+1/4'
'x+1/2,y+1/2,z+1/2'
'-x+1/2,-y+1/2,-z+1/2'
'-y+3/4,x+1/4,z+3/4'
'y+3/4,-x+1/4,-z+3/4'
'-x,-y+1/2,z'
'x,y+1/2,-z'
'y+3/4,-x+3/4,z+1/4'
'-y+3/4,x+3/4,-z+1/4'
'x+1/2,-y+1/2,-z+1/2'
'-x+1/2,y+1/2,z+1/2'
'-y+3/4,-x+3/4,-z+1/4'
'y+3/4,x+3/4,z+1/4'
'-x,y+1/2,-z'
'x,-y+1/2,z'
'y+3/4,x+1/4,-z+3/4'
'-y+3/4,-x+1/4,z+3/4'
loop_
_atom_site_label
_atom_site_type_symbol
_atom_site_fract_x
_atom_site_fract_y
_atom_site_fract_z
K1 K 0.0000 0.2500 0.3750
Cu1 Cu 0.0000 0.0000 0.0000
Rh1 Rh 0.0000 0.2500 0.8750
```